Density functional theory data (GGA-PBE) for a relaxed structure of ReTc2B.

Results
space-group type = F-43m, No. 216
magnetization = 0.1 μB per formula unit
total energy = -9.40 eV/atom

abc: 4.191 4.191 4.191
angles: 60.00 60.00 60.00
Each line ends with the local moment (μB).
Sites, in units of the cell vectors:
Tc 0.750 0.750 0.750  0.00
Tc 0.000 0.000 0.000  0.07
Re 0.250 0.250 0.250  0.00
B 0.500 0.500 0.500  0.00

---

Density functional theory data (GGA-PBE) for a relaxed structure of KLuPO.

Results
space-group type = P4/nmm, No. 129
magnetization = 0.0 μB per formula unit
total energy = -4.98 eV/atom

abc: 5.595 5.595 4.988
angles: 90.00 90.00 90.00
Sites, in units of the cell vectors:
K 0.500 0.000 0.996
K 0.000 0.500 0.004
P 0.000 0.500 0.505
P 0.500 0.000 0.495
O 0.000 0.000 0.000
O 0.500 0.500 0.000
Lu 0.000 0.000 0.500
Lu 0.500 0.500 0.500